No. 1
VASP calculation (PBE) on an optimized crystal structure of Cd7Ag12Pt.

Results
The space group is R-3, No. 148. Its final energy is -2.32 eV/atom.

a b c (Å): 7.7778 7.7778 7.7778
angles (deg): 107.16 107.16 107.16
Closest atoms and distances in Å follow each position.
Fractional coordinates of all 20 atoms:
1 Cd 0.0951 0.6762 0.9745  1 Pt 2.80, 7 Ag 2.84-3.03, 3 Cd 2.91-3.07
2 Cd 0.3238 0.0255 0.9049  1 Pt 2.80, 7 Ag 2.84-3.03, 3 Cd 2.91-3.07
3 Cd 0.0255 0.9049 0.3238  1 Pt 2.80, 7 Ag 2.84-3.03, 3 Cd 2.91-3.07
4 Cd 0.5000 0.5000 0.5000  6 Ag 2.84
5 Cd 0.9745 0.0951 0.6762  1 Pt 2.80, 7 Ag 2.84-3.03, 3 Cd 2.91-3.07
6 Cd 0.6762 0.9745 0.0951  1 Pt 2.80, 7 Ag 2.84-3.03, 3 Cd 2.91-3.07
7 Cd 0.9049 0.3238 0.0255  1 Pt 2.80, 7 Ag 2.84-3.03, 3 Cd 2.91-3.07
8 Ag 0.7664 0.3344 0.6300  7 Ag 2.82-3.08, 4 Cd 2.84-2.98
9 Ag 0.6656 0.3700 0.2336  7 Ag 2.82-3.08, 4 Cd 2.84-2.98
10 Ag 0.4151 0.0342 0.3083  6 Ag 2.82-3.15, 4 Cd 2.92-3.03
11 Ag 0.9658 0.6917 0.5849  6 Ag 2.82-3.15, 4 Cd 2.92-3.03
12 Ag 0.3700 0.2336 0.6656  7 Ag 2.82-3.08, 4 Cd 2.84-2.98
13 Ag 0.6917 0.5849 0.9658  6 Ag 2.82-3.15, 4 Cd 2.92-3.03
14 Ag 0.3083 0.4151 0.0342  6 Ag 2.82-3.15, 4 Cd 2.92-3.03
15 Ag 0.6300 0.7664 0.3344  7 Ag 2.82-3.08, 4 Cd 2.84-2.98
16 Ag 0.0342 0.3083 0.4151  6 Ag 2.82-3.15, 4 Cd 2.92-3.03
17 Ag 0.5849 0.9658 0.6917  6 Ag 2.82-3.15, 4 Cd 2.92-3.03
18 Ag 0.3344 0.6300 0.7664  7 Ag 2.82-3.08, 4 Cd 2.84-2.98
19 Ag 0.2336 0.6656 0.3700  7 Ag 2.82-3.08, 4 Cd 2.84-2.98
20 Pt 0.0000 0.0000 0.0000  6 Cd 2.80



No. 2
VASP calculation (PBE) on an optimized crystal structure of Cd2AgPt.

Results
The space group is R-3m, No. 166. Its final energy is -2.80 eV/atom.

a b c (Å): 9.5739 9.5739 9.5739
angles (deg): 18.12 18.12 18.12
Closest atoms and distances in Å follow each position.
Fractional coordinates of all 4 atoms:
1 Ag 0.7500 0.7500 0.7500  6 Cd 2.98, 6 Ag 3.02
2 Pt 0.2500 0.2500 0.2500  6 Cd 2.87, 6 Pt 3.02
3 Cd 0.9975 0.9975 0.9975  3 Pt 2.87, 3 Ag 2.98, 6 Cd 3.02
4 Cd 0.5025 0.5025 0.5025  3 Pt 2.87, 3 Ag 2.98, 6 Cd 3.02



No. 3
VASP calculation (PBE) on an optimized crystal structure of Cd2AgPt2.

Results
The space group is P6_3/mmc, No. 194. The calculation puts the energy above the most stable polymorph in this dataset at 4.14 kcal/mol of atoms. Its final energy is -3.34 eV/atom.

a b c (Å): 4.5428 4.5428 10.7341
angles (deg): 90.00 90.00 120.00
Closest atoms and distances in Å follow each position.
Fractional coordinates of all 10 atoms:
1 Cd 0.3333 0.6667 0.6000  6 Pt 2.83-3.08, 3 Ag 3.08
2 Cd 0.6667 0.3333 0.1000  6 Pt 2.83-3.08, 3 Ag 3.08
3 Cd 0.6667 0.3333 0.4000  6 Pt 2.83-3.08, 3 Ag 3.08
4 Cd 0.3333 0.6667 0.9000  6 Pt 2.83-3.08, 3 Ag 3.08
5 Ag 0.0000 0.0000 0.2500  5 Pt 2.62-2.68
6 Ag 0.0000 0.0000 0.7500  5 Pt 2.62-2.68
7 Pt 0.6667 0.3333 0.7500  3 Ag 2.62
8 Pt 0.0000 0.0000 0.0000  2 Ag 2.68, 6 Cd 2.83
9 Pt 0.0000 0.0000 0.5000  2 Ag 2.68, 6 Cd 2.83
10 Pt 0.3333 0.6667 0.2500  3 Ag 2.62



no.,magnetic moment (Bohr magnetons per cell)
1,0.0
2,0.0
3,0.0